Material: Al4Hg3
Method: DFT, GGA-PBE
State: optimized geometry

abc: 14.4173 14.4173 14.4173
angles: 13.47 13.47 13.47
Last column: nearest neighbours and their distance in Å.
Element x y z (fractional)
Al: 0.2146 0.2146 0.2146  6 Hg 2.83-2.84
Al: 0.3561 0.3561 0.3561  3 Al 2.76, 3 Hg 2.84
Al: 0.6439 0.6439 0.6439  3 Al 2.76, 3 Hg 2.84
Al: 0.7854 0.7854 0.7854  6 Hg 2.83-2.84
Hg: 0.0708 0.0708 0.0708  6 Al 2.83-2.84
Hg: 0.5000 0.5000 0.5000  6 Al 2.84
Hg: 0.9292 0.9292 0.9292  6 Al 2.83-2.84

Output
calculated volume = 20.216 Å³/atom
density = 8.33 g/cm3
final energy = -14.877 eV per cell
crystal system = trigonal